[1]
# Tl2FeBr, optimized geometry, DFT PBE
# crystal system	orthorhombic
data_Tl2FeBr
_chemical_formula_sum 'Tl4 Fe2 Br2'
_symmetry_space_group_name_H-M 'C m m 2'
_symmetry_Int_Tables_number 35
_cell_length_a 4.0236
_cell_length_b 5.3194
_cell_length_c 9.8208
_cell_angle_alpha 90.00
_cell_angle_beta 90.00
_cell_angle_gamma 90.00
loop_
_symmetry_equiv_pos_as_xyz
'x,y,z'
'-x,-y,z'
'-x,y,z'
'x,-y,z'
'x+1/2,y+1/2,z'
'-x+1/2,-y+1/2,z'
'-x+1/2,y+1/2,z'
'x+1/2,-y+1/2,z'
loop_
_atom_site_label
_atom_site_fract_x
_atom_site_fract_y
_atom_site_fract_z
_atom_site_occupancy
Tl1 0.0000 0.0000 0.0000 1
Tl2 0.0000 0.5000 0.2841 1
Fe1 0.0000 0.0000 0.4991 1
Br1 0.0000 0.5000 0.6549 1


[2]
# TlFe3Br12, optimized geometry, DFT PBE
# crystal system	trigonal
data_TlFe3Br12
_chemical_formula_sum 'Tl6 Fe18 Br72'
_symmetry_space_group_name_H-M 'R 3 c'
_symmetry_Int_Tables_number 161
_symmetry_space_group_name_Hall 'R 3 -2"c'
_cell_length_a 11.6528
_cell_length_b 11.6528
_cell_length_c 36.0725
_cell_angle_alpha 90.00
_cell_angle_beta 90.00
_cell_angle_gamma 120.00
loop_
_atom_site_label
_atom_site_fract_x
_atom_site_fract_y
_atom_site_fract_z
_atom_site_occupancy
Tl1 0.0000 0.0000 0.0000 1
Fe1 0.0121 0.3604 0.2781 1
Br1 0.0144 0.4590 0.3339 1
Br2 0.0189 0.4863 0.4503 1
Br3 0.0546 0.4857 0.2247 1
Br4 0.0591 0.5206 0.1048 1


[3]
# Tl2FeBr, optimized geometry, DFT PBE
# crystal system	cubic
data_Tl2FeBr
_chemical_formula_sum 'Tl8 Fe4 Br4'
_symmetry_space_group_name_H-M 'F m -3 m'
_symmetry_Int_Tables_number 225
_symmetry_space_group_name_Hall '-F 4 2 3'
_cell_length_a 7.6075
_cell_length_b 7.6075
_cell_length_c 7.6075
_cell_angle_alpha 90.00
_cell_angle_beta 90.00
_cell_angle_gamma 90.00
loop_
_atom_site_label
_atom_site_fract_x
_atom_site_fract_y
_atom_site_fract_z
_atom_site_occupancy
Tl1 0.2500 0.2500 0.2500 1
Fe1 0.0000 0.0000 0.0000 1
Br1 0.0000 0.0000 0.5000 1


[4]
# TlFeBr, optimized geometry, DFT PBE
# crystal system	tetragonal
data_TlFeBr
_chemical_formula_sum 'Tl2 Fe2 Br2'
_symmetry_space_group_name_H-M 'I 4 m m'
_symmetry_Int_Tables_number 107
_symmetry_space_group_name_Hall 'I 4 -2'
_cell_length_a 3.2816
_cell_length_b 3.2816
_cell_length_c 13.3671
_cell_angle_alpha 90.00
_cell_angle_beta 90.00
_cell_angle_gamma 90.00
loop_
_atom_site_label
_atom_site_fract_x
_atom_site_fract_y
_atom_site_fract_z
_atom_site_occupancy
Tl1 0.0000 0.0000 0.0000 1
Fe1 0.0000 0.0000 0.3429 1
Br1 0.0000 0.0000 0.7440 1


Number 1: final energy -3.537 eV per atom. Number 2: final energy -3.423 eV per atom. Number 3: final energy -3.275 eV per atom. Number 4: final energy -3.876 eV per atom.